LaCrGaRh2: optimized geometry, PBE-GGA. Values from VASP.

```
&SYSTEM
  ibrav = 0, nat = 5, ntyp = 4
/
ATOMIC_SPECIES
Rh 102.91 Rh.upf
La 138.91 La.upf
Cr 52.00 Cr.upf
Ga 69.72 Ga.upf
ATOMIC_POSITIONS crystal
Rh 0.0000 0.0000 0.5000
Rh 0.5000 0.0000 0.0000
La 0.5000 0.5000 0.5000
Cr 0.0000 0.0000 0.0000
Ga 0.0000 0.5000 0.0000
CELL_PARAMETERS angstrom
-3.2714 2.0233 -2.5580
1.6164 -2.1916 -3.8007
-2.8438 -3.5436 0.8339
```

The value obtained for the total magnetization is 0.00 μB/f.u. As for the formation energy: 0.011 eV/atom. As for the space group: P4/mmm.

CaCd: optimized geometry, PBE-GGA. Values from VASP.

```
&SYSTEM
  ibrav = 0, nat = 2, ntyp = 2
/
ATOMIC_SPECIES
Ca 40.08 Ca.upf
Cd 112.41 Cd.upf
ATOMIC_POSITIONS crystal
Ca 0.0000 0.0000 0.0000
Cd 0.5000 0.5000 0.5000
CELL_PARAMETERS angstrom
4.5366 0.0000 0.0000
2.2683 3.9288 0.0000
2.2683 1.3096 3.7041
```

The value obtained for the total magnetization is 0.00 μB/f.u. As for the formation energy: -0.138 eV/atom. As for the space group: Fm-3m.

NaCa2F2: optimized geometry, PBE-GGA. Values from VASP.

```
&SYSTEM
  ibrav = 0, nat = 5, ntyp = 3
/
ATOMIC_SPECIES
Ca 40.08 Ca.upf
Na 22.99 Na.upf
F 19.00 F.upf
ATOMIC_POSITIONS crystal
Ca 0.3295 0.3295 0.3410
Ca 0.6705 0.6705 0.6590
Na 0.0000 0.0000 0.0000
F 0.7500 0.2500 0.5000
F 0.2500 0.7500 0.5000
CELL_PARAMETERS angstrom
3.9166 0.0000 0.0000
0.0000 3.9166 0.0000
1.9583 1.9583 8.2268
```

The value obtained for the uncorrected formation energy is -218 kJ/mol of atoms. The value obtained for the total magnetization is 0.00 μB/f.u. As for the space group: I4/mmm.

Ce3P3Ir2: optimized geometry, PBE-GGA. Values from VASP.

```
&SYSTEM
  ibrav = 0, nat = 16, ntyp = 3
/
ATOMIC_SPECIES
Ir 192.22 Ir.upf
Ce 140.12 Ce.upf
P 30.97 P.upf
ATOMIC_POSITIONS crystal
Ir 0.2190 0.4381 0.1048
Ir 0.2190 0.4381 0.3952
Ir 0.7810 0.5619 0.8952
Ir 0.7810 0.5619 0.6048
Ce 0.9256 0.8512 0.1050
Ce 0.0744 0.1488 0.6050
Ce 0.6407 0.2814 0.2500
Ce 0.9256 0.8512 0.3950
Ce 0.0744 0.1488 0.8950
Ce 0.3593 0.7186 0.7500
P 0.3515 0.7029 0.2500
P 0.3649 0.7298 0.5456
P 0.6485 0.2971 0.7500
P 0.3649 0.7298 0.9544
P 0.6351 0.2702 0.4544
P 0.6351 0.2702 0.0456
CELL_PARAMETERS angstrom
-3.7725 1.3691 -1.0814
2.6621 -2.4467 -4.3972
-5.5832 -12.5417 3.5984
```

The value obtained for the total magnetization is 0.67 μB/f.u. As for the formation energy: -1.129 eV/atom. As for the space group: Cmcm.

no.,energy (eV/atom)
1,-6.446
2,-1.596
3,-4.073
4,-7.598